1.
# ZrScTi2N

A geometry-optimized ZrScTi2N structure (GGA-PBE, the Alexandria database).

```
5
Lattice="4.232 0.000 0.000 0.000 4.232 0.000 0.000 0.000 4.563" Properties=species:S:1:pos:R:3 pbc="T T T"
Zr 0.000 0.000 0.000
Sc 2.116 2.116 0.000
Ti 0.000 2.116 2.282
Ti 2.116 0.000 2.282
N 2.116 2.116 2.282
```

Properties
- Spin magnetization: 0.00 μB per formula unit
- DOS at the Fermi energy: 1.142 states/eV/atom
- Offset from the most stable computed form: 47 meV per atom
- Space-group type: P4/mmm, No. 123

---

2.
# ScTl2N2

A geometry-optimized ScTl2N2 structure (GGA-PBE, the Alexandria database).

```
5
Lattice="-2.250 2.250 5.208 2.250 -2.250 5.208 2.250 2.250 -5.208" Properties=species:S:1:pos:R:3 pbc="T T T"
Sc 0.000 0.000 0.000
Tl 2.250 0.000 2.604
Tl 0.000 2.250 2.604
N 0.000 0.000 4.623
N 0.000 0.000 5.792
```

Properties
- Spin magnetization: 0.00 μB per formula unit
- DOS at the Fermi energy: 0.779 states/eV/atom
- Offset from the most stable computed form: 99 meV per atom
- Space-group type: I4/mmm, No. 139

---

3.
# Sc4TlN

A geometry-optimized Sc4TlN structure (GGA-PBE, the Alexandria database).

```
12
Lattice="7.301 -2.650 0.000 7.301 2.650 0.000 -1.724 0.000 6.314" Properties=species:S:1:pos:R:3 pbc="T T T"
Sc 0.953 0.198 2.725
Sc 0.091 -0.198 5.882
Sc 3.057 0.117 5.036
Sc 3.919 -0.117 1.879
Sc 8.959 0.117 4.435
Sc 9.821 -0.117 1.278
Sc 12.786 0.198 0.432
Sc 11.925 -0.198 3.589
Tl 6.870 0.235 1.579
Tl 6.008 -0.235 4.736
N 2.789 1.325 3.157
N 3.650 -1.325 0.000
```

Properties
- Spin magnetization: 0.00 μB per formula unit
- DOS at the Fermi energy: 0.712 states/eV/atom
- Space-group type: C2/c, No. 15

---

4.
# ScTl2N2

A geometry-optimized ScTl2N2 structure (GGA-PBE, the Alexandria database).

```
10
Lattice="6.330 0.000 0.000 0.000 6.330 0.000 0.000 0.000 4.501" Properties=species:S:1:pos:R:3 pbc="T T T"
Sc 0.000 0.000 0.000
Sc 3.165 3.165 0.000
Tl 1.039 2.126 2.251
Tl 2.126 5.291 2.251
Tl 4.204 1.039 2.251
Tl 5.291 4.204 2.251
N 1.561 4.726 0.000
N 1.605 1.561 0.000
N 4.726 4.770 0.000
N 4.770 1.605 0.000
```

Properties
- Spin magnetization: 0.00 μB per formula unit
- DOS at the Fermi energy: 0.938 states/eV/atom
- Offset from the most stable computed form: 0 meV per atom
- Space-group type: P4/mbm, No. 127

---

5.
# ScTlN3

A geometry-optimized ScTlN3 structure (GGA-PBE, the Alexandria database).

```
5
Lattice="4.242 0.000 0.000 0.000 4.242 0.000 0.000 0.000 4.242" Properties=species:S:1:pos:R:3 pbc="T T T"
Sc 0.000 0.000 0.000
Tl 2.121 2.121 2.121
N 0.000 0.000 2.121
N 0.000 2.121 0.000
N 2.121 0.000 0.000
```

Properties
- Spin magnetization: 3.64 μB per formula unit
- DOS at the Fermi energy: 1.122 states/eV/atom
- Space-group type: Pm-3m, No. 221

---

6.
# Sc2TlN

A geometry-optimized Sc2TlN structure (GGA-PBE, the Alexandria database).

```
8
Lattice="-3.239 3.239 3.931 3.239 -3.239 3.931 3.239 3.239 -3.931" Properties=species:S:1:pos:R:3 pbc="T T T"
Sc 4.858 0.851 -0.983
Sc 0.851 1.619 0.983
Sc -1.619 2.388 2.948
Sc 2.388 1.619 4.913
Tl 3.239 0.000 1.965
Tl 0.000 0.000 3.931
N 0.000 0.000 0.000
N 0.000 3.239 1.965
```

Properties
- Spin magnetization: 0.00 μB per formula unit
- DOS at the Fermi energy: 0.066 states/eV/atom
- Space-group type: I-42d, No. 122

---

7.
# Sc2TlN

A geometry-optimized Sc2TlN structure (GGA-PBE, the Alexandria database).

```
4
Lattice="0.000 3.337 3.337 3.337 0.000 3.337 3.337 3.337 0.000" Properties=species:S:1:pos:R:3 pbc="T T T"
Sc 1.669 1.669 1.669
Sc 5.006 5.006 5.006
Tl 0.000 0.000 0.000
N 3.337 3.337 3.337
```

Properties
- Spin magnetization: 0.00 μB per formula unit
- DOS at the Fermi energy: 1.094 states/eV/atom
- Space-group type: Fm-3m, No. 225

---

8.
# ScTl3N

A geometry-optimized ScTl3N structure (GGA-PBE, the Alexandria database).

```
5
Lattice="5.627 0.000 0.000 0.000 5.627 0.000 0.000 0.000 5.627" Properties=species:S:1:pos:R:3 pbc="T T T"
Sc 0.000 0.000 0.000
Tl 0.000 0.000 2.813
Tl 0.000 2.813 0.000
Tl 2.813 0.000 0.000
N 2.813 2.813 2.813
```

Properties
- Spin magnetization: 1.05 μB per formula unit
- DOS at the Fermi energy: 1.205 states/eV/atom
- Offset from the most stable computed form: 829 meV per atom
- Space-group type: Pm-3m, No. 221

---

9.
# Sc4Tl2N

A geometry-optimized Sc4Tl2N structure (GGA-PBE, the Alexandria database).

```
7
Lattice="-2.208 2.208 7.494 2.208 -2.208 7.494 2.208 2.208 -7.494" Properties=species:S:1:pos:R:3 pbc="T T T"
Sc 2.208 0.000 0.000
Sc 0.000 0.000 2.365
Sc 0.000 2.208 0.000
Sc 0.000 0.000 12.622
Tl 0.000 0.000 5.367
Tl 0.000 0.000 9.621
N 0.000 0.000 0.000
```

Properties
- Spin magnetization: 0.00 μB per formula unit
- DOS at the Fermi energy: 0.824 states/eV/atom
- Space-group type: I4/mmm, No. 139

---

10.
# Sc6Tl2N

A geometry-optimized Sc6Tl2N structure (GGA-PBE, the Alexandria database).

```
9
Lattice="3.320 0.000 0.000 0.000 7.028 4.229 0.000 -7.028 4.229" Properties=species:S:1:pos:R:3 pbc="T T T"
Sc 0.000 0.000 0.000
Sc 0.000 -1.470 5.346
Sc 0.000 1.470 5.346
Sc 1.660 -4.235 3.877
Sc 1.660 0.000 2.903
Sc 1.660 4.235 3.877
Tl 0.000 -2.417 2.144
Tl 0.000 2.417 2.144
N 1.660 0.000 5.005
```

Properties
- Spin magnetization: 0.69 μB per formula unit
- DOS at the Fermi energy: 1.246 states/eV/atom
- Space-group type: Amm2, No. 38

---

11.
# ScTlN

A geometry-optimized ScTlN structure (GGA-PBE, the Alexandria database).

```
6
Lattice="1.808 1.044 11.091 -1.808 1.044 11.091 0.000 -2.088 11.091" Properties=species:S:1:pos:R:3 pbc="T T T"
Sc 0.000 0.000 4.418
Sc 0.000 0.000 28.854
Tl 0.000 0.000 12.529
Tl 0.000 0.000 20.744
N 0.000 0.000 6.596
N 0.000 0.000 26.676
```

Properties
- Spin magnetization: 0.00 μB per formula unit
- DOS at the Fermi energy: 0.318 states/eV/atom
- Space-group type: R-3m, No. 166

---

12.
# Sc2TlN

A geometry-optimized Sc2TlN structure (GGA-PBE, the Alexandria database).

```
4
Lattice="1.653 0.954 7.438 -1.653 0.954 7.438 0.000 -1.908 7.438" Properties=species:S:1:pos:R:3 pbc="T T T"
Sc 0.000 0.000 4.914
Sc 0.000 0.000 17.401
Tl 0.000 0.000 0.000
N 0.000 0.000 11.158
```

Properties
- Spin magnetization: 0.00 μB per formula unit
- DOS at the Fermi energy: 0.597 states/eV/atom
- Space-group type: R-3m, No. 166

---

Number 1: formation energy without anion corrections -626 meV/atom. Number 2: formation energy without anion corrections 440 meV/atom. Number 3: formation energy without anion corrections -703 meV/atom. Number 4: formation energy without anion corrections 341 meV/atom. Number 5: formation energy without anion corrections 998 meV/atom. Number 6: formation energy without anion corrections -795 meV/atom. Number 7: formation energy without anion corrections 383 meV/atom. Number 8: formation energy without anion corrections 1558 meV/atom. Number 9: formation energy without anion corrections -740 meV/atom. Number 10: formation energy without anion corrections -427 meV/atom. Number 11: formation energy without anion corrections -946 meV/atom. Number 12: formation energy without anion corrections -1117 meV/atom.